An optimized crystal structure of Li3Cu, computed with PBE.

Size of the total moment = 0.02 μB per formula unit
Volume = 15.226 A^3/atom
E_form = 0.027 eV per atom

abc: 3.937 3.933 3.934
angles: 90.00 90.00 90.00
Fractional coordinates of all 4 atoms:
Cu: 0.500 0.000 0.583
Li: 0.000 0.000 0.084
Li: 0.000 0.500 0.583
Li: 0.500 0.500 0.083

An optimized crystal structure of UTi2Co, computed with PBE.

Size of the total moment = 0.00 μB per formula unit
Volume = 15.937 A^3/atom
Excess energy over the best structure of this formula in the dataset = 0.0000 eV/atom
E_form = -0.098 eV per atom

abc: 2.850 2.850 7.846
angles: 90.00 90.00 90.00
Fractional coordinates of all 4 atoms:
Co: 0.500 0.500 0.000
U: 0.500 0.500 0.500
Ti: 0.000 0.000 0.798
Ti: 0.000 0.000 0.202

DOS at the Fermi energy, respectively: 0.43; 1.96 states/eV per atom.